[1]
Entry from the Alexandria database: a geometry-optimized Pm4OsPd structure (PBE-GGA).

Cell: 8.123 8.123 6.392 Å, 107.40 107.40 111.38°
Atoms (fractional coordinates):
Pm  0.052  0.703  0.907
Pm  0.230  0.363  0.717
Pm  0.297  0.948  0.593
Pm  0.363  0.230  0.217
Pm  0.637  0.770  0.783
Pm  0.703  0.052  0.407
Pm  0.770  0.637  0.283
Pm  0.948  0.297  0.093
Os  0.003  0.997  0.250
Os  0.997  0.003  0.750
Pd  0.366  0.634  0.250
Pd  0.634  0.366  0.750

- N(E_F) (states/eV/atom) = 1.100
- space group = C2/c, No. 15
- ΔE_f (meV/atom) = -341
- total moment (μB/f.u.) = 0.0

***

[2]
Entry from the Alexandria database: a geometry-optimized Pm8Os2Pd structure (PBE-GGA).

Cell: 9.385 9.385 7.128 Å, 105.44 105.44 30.26°
Atoms (fractional coordinates):
Pm  0.032  0.032  0.282
Pm  0.205  0.205  0.816
Pm  0.329  0.329  0.533
Pm  0.401  0.401  0.029
Pm  0.599  0.599  0.971
Pm  0.671  0.671  0.467
Pm  0.795  0.795  0.184
Pm  0.968  0.968  0.718
Os  0.187  0.187  0.209
Os  0.813  0.813  0.791
Pd  0.500  0.500  0.500

- N(E_F) (states/eV/atom) = 1.035
- space group = C2/m, No. 12
- E above lowest polymorph (meV per atom) = 0
- ΔE_f (meV/atom) = -188
- total moment (μB/f.u.) = 0.0

***

The lowest ΔE_f belongs to which entry? Pm4OsPd

***

What is the ΔE_f in the first record? -341 meV/atom